The following is a DFT calculation (PBE) of a relaxed structure of Ce2VP3Ir4.

abc: 4.0598 4.0598 10.1550
angles: 90.00 90.00 90.00
With the nearest neighbours (Å) after each atom.
Fractional positions:
Ir 0.5000 0.5000 0.0000  4 P 2.46
Ce 0.0000 0.5000 0.7535  6 P 3.08-3.28, 8 Ir 3.13-3.22, 2 V 3.28
P 0.5000 0.0000 0.8637  5 Ir 2.36-2.46
Ce 0.5000 0.0000 0.2465  6 P 3.08-3.28, 8 Ir 3.13-3.22, 2 V 3.28
P 0.0000 0.0000 0.5000  4 Ir 2.43
V 0.5000 0.5000 0.5000  4 Ir 2.43
Ir 0.0000 0.5000 0.3683  3 P 2.36-2.43, 2 V 2.43
P 0.0000 0.5000 0.1363  5 Ir 2.36-2.46
Ir 0.5000 0.0000 0.6317  3 P 2.36-2.43, 2 V 2.43
Ir 0.0000 0.0000 0.0000  4 P 2.46

ρ ... 11.84 Mg/m³
E_tot ... -82.1 eV per cell

The following is a DFT calculation (PBE) of a relaxed structure of Na3Sc2BiO6.

abc: 5.7385 5.7385 5.8781
angles: 99.40 99.40 120.05
With the nearest neighbours (Å) after each atom.
Fractional positions:
O 0.7082 0.7082 0.2116  2 Sc 2.18, 1 Na 2.37, 1 Bi 2.39
Sc 0.6669 0.3331 0.0000  6 O 2.17-2.18
Na 0.8310 0.1690 0.5000  6 O 2.37-2.58
O 0.5680 0.9303 0.7917  2 Sc 2.17, 1 Na 2.37, 1 Bi 2.38
Bi 0.0000 0.0000 0.0000  6 O 2.38-2.39
O 0.4320 0.0697 0.2083  2 Sc 2.17, 1 Na 2.37, 1 Bi 2.38
O 0.9303 0.5680 0.7917  2 Sc 2.17, 1 Na 2.37, 1 Bi 2.38
Na 0.1690 0.8310 0.5000  6 O 2.37-2.58
Sc 0.3331 0.6669 0.0000  6 O 2.17-2.18
O 0.0697 0.4320 0.2083  2 Sc 2.17, 1 Na 2.37, 1 Bi 2.38
O 0.2918 0.2918 0.7884  2 Sc 2.18, 1 Na 2.37, 1 Bi 2.39
Na 0.5000 0.5000 0.5000  6 O 2.37-2.57

ρ ... 4.86 Mg/m³
Formation energy without anion corrections ... -2.32 eV per atom
E_tot ... -78.1 eV per cell

The following is a DFT calculation (PBE) of a relaxed structure of Hf2TeIr.

abc: 3.1402 3.1402 10.1658
angles: 81.12 81.12 60.00
With the nearest neighbours (Å) after each atom.
Fractional positions:
Hf 0.9166 0.9166 0.2501  1 Ir 2.50
Te 0.5000 0.5000 0.5000  6 Hf 3.09, 6 Te 3.14
Ir 0.0000 0.0000 0.0000  2 Hf 2.50
Hf 0.0834 0.0834 0.7499  1 Ir 2.50

ρ ... 13.16 Mg/m³
Formation energy without anion corrections ... 0.26 eV per atom
E_tot ... -30.9 eV per cell